Material: HgAuBr4
Method: DFT, PBE-GGA
State: relaxed

Cell and atoms, written as POSCAR:
```
HgAuBr4
1.0
7.798 -1.483 0.000
-2.761 7.471 0.000
-2.519 -2.994 7.674
Br Au Hg
8 2 2
Direct
0.581 0.302 0.107
0.203 0.448 0.369
0.975 0.195 0.893
0.025 0.805 0.107
0.334 0.079 0.631
0.797 0.552 0.631
0.666 0.921 0.369
0.419 0.698 0.893
0.684 0.434 0.868
0.316 0.566 0.132
0.179 0.929 0.859
0.821 0.071 0.141
```

Calculated values
E above lowest polymorph: 0 kJ/mol of formula units
E_form (uncorrected): -238 meV per atom